# LaZnCu2

An optimized crystal structure of LaZnCu2 (PBE-GGA, Alexandria via LeMat-Bulk).

Unit cell a=7.0099 b=4.3447 c=9.8187 alpha=90.00 beta=90.00 gamma=90.00
With the nearest neighbours (Å) after each atom.
Space group Pnma (No. 62)
Symmetry-distinct sites (fractional):
La  0.2241  0.2500  0.1777 x4  6 Cu 2.85-3.08, 1 Zn 3.18
Zn  0.0543  0.7500  0.3955 x4  5 Cu 2.59-2.88
Cu  0.0742  0.2500  0.8829 x4  3 Cu 2.59-2.64, 2 Zn 2.61-2.88
Cu  0.2385  0.7500  0.9668 x4  3 Cu 2.59-2.64, 3 Zn 2.59-2.71, 1 La 2.85

Calculated values
density: 7.36 g/cm3
E_form: -0.2396 eV per atom
crystal system: orthorhombic